Material: BaAuBr
Method: DFT, GGA-PBE
State: relaxed

Lattice parameters (Å, degrees): 7.6384 7.6384 7.6384 90.00 90.00 90.00
With the nearest neighbours (Å) after each atom.
Fractional coordinates of all 12 atoms:
1 Ba 0.0000 0.0000 0.0000  4 Br 3.31
2 Ba 0.0000 0.5000 0.5000  4 Br 3.31
3 Ba 0.5000 0.0000 0.5000  4 Br 3.31
4 Ba 0.5000 0.5000 0.0000  4 Br 3.31
5 Au 0.0000 0.0000 0.5000  4 Br 3.31
6 Au 0.0000 0.5000 0.0000  4 Br 3.31
7 Au 0.5000 0.0000 0.0000  4 Br 3.31
8 Au 0.5000 0.5000 0.5000  4 Br 3.31
9 Br 0.2500 0.2500 0.7500  4 Ba 3.31, 4 Au 3.31
10 Br 0.2500 0.7500 0.2500  4 Ba 3.31, 4 Au 3.31
11 Br 0.7500 0.2500 0.2500  4 Ba 3.31, 4 Au 3.31
12 Br 0.7500 0.7500 0.7500  4 Ba 3.31, 4 Au 3.31

Calculated values
For the raw total energy, the calculation gives -3.33 eV per atom. Its space group is F-43m (216). The value obtained for the volume is 445.7 Å³ per cell.